Record 1
Compound: SrIrBr3
Source: Alexandria
Functional: PBE
Structure: relaxed

Formation energy from raw total energies: 0.1319 eV per atom
E above lowest polymorph: 3.697 eV/f.u.
V: 206.8 Å³ per cell
Space-group type: No. 221
Mass density: 4.17 g/cm3

Unit cell a=5.913 b=5.913 c=5.913 alpha=90.00 beta=90.00 gamma=90.00
Atoms (fractional coordinates):
Sr  0.000  0.000  0.000
Ir  0.500  0.500  0.500
Br  0.000  0.000  0.500
Br  0.000  0.500  0.000
Br  0.500  0.000  0.000

---

Record 2
Compound: SrIrBr2
Source: Alexandria
Functional: PBE
Structure: relaxed

Formation energy from raw total energies: -0.2588 eV per atom
E above lowest polymorph: 1.354 eV/f.u.
V: 97.9 Å³ per cell
Space-group type: No. 166
Mass density: 7.46 g/cm3

Unit cell a=5.878 b=5.878 c=5.878 alpha=46.59 beta=46.59 gamma=46.59
Atoms (fractional coordinates):
Sr  0.000  0.000  0.000
Ir  0.500  0.500  0.500
Br  0.231  0.231  0.231
Br  0.769  0.769  0.769

---

Record 3
Compound: SrIrBr
Source: Alexandria
Functional: PBE
Structure: relaxed

Formation energy from raw total energies: -0.7591 eV per atom
E above lowest polymorph: 0.965 eV/f.u.
V: 185.4 Å³ per cell
Space-group type: No. 8
Mass density: 6.45 g/cm3

Unit cell a=6.045 b=6.045 c=8.863 alpha=118.67 beta=118.67 gamma=41.84
Atoms (fractional coordinates):
Sr  0.000  0.000  0.000
Sr  0.098  0.098  0.613
Ir  0.290  0.290  0.036
Ir  0.699  0.699  0.932
Br  0.382  0.382  0.629
Br  0.551  0.551  0.323

---

Record 4
Compound: SrIrBr3
Source: Alexandria
Functional: PBE
Structure: relaxed

Formation energy from raw total energies: -0.6075 eV per atom
E above lowest polymorph: 0.000 eV/f.u.
V: 138.0 Å³ per cell
Space-group type: No. 221
Mass density: 6.25 g/cm3

Unit cell a=5.167 b=5.167 c=5.167 alpha=90.00 beta=90.00 gamma=90.00
Atoms (fractional coordinates):
Sr  0.000  0.000  0.000
Ir  0.500  0.500  0.500
Br  0.000  0.500  0.500
Br  0.500  0.000  0.500
Br  0.500  0.500  0.000

---

Record 5
Compound: SrIrBr2
Source: Alexandria
Functional: PBE
Structure: relaxed

Formation energy from raw total energies: -0.1834 eV per atom
E above lowest polymorph: 1.656 eV/f.u.
V: 99.0 Å³ per cell
Space-group type: No. 119
Mass density: 7.37 g/cm3

Unit cell a=6.532 b=6.532 c=6.532 alpha=143.29 beta=143.29 gamma=52.89
Atoms (fractional coordinates):
Sr  0.000  0.000  0.000
Ir  0.250  0.750  0.500
Br  0.500  0.500  0.000
Br  0.750  0.250  0.500

---

Record 6
Compound: SrIr4Br
Source: Alexandria
Functional: PBE
Structure: relaxed

Formation energy from raw total energies: 0.4636 eV per atom
V: 114.5 Å³ per cell
Space-group type: No. 216
Mass density: 13.58 g/cm3

Unit cell a=5.451 b=5.451 c=5.451 alpha=60.00 beta=60.00 gamma=60.00
Atoms (fractional coordinates):
Sr  0.000  0.000  0.000
Ir  0.375  0.375  0.375
Ir  0.375  0.375  0.875
Ir  0.375  0.875  0.375
Ir  0.875  0.375  0.375
Br  0.750  0.750  0.750

---

Record 7
Compound: SrIrBr
Source: Alexandria
Functional: PBE
Structure: relaxed

Formation energy from raw total energies: -1.0809 eV per atom
E above lowest polymorph: 0.000 eV/f.u.
V: 185.9 Å³ per cell
Space-group type: No. 12
Mass density: 6.43 g/cm3

Unit cell a=4.244 b=4.244 c=11.994 alpha=100.32 beta=100.32 gamma=61.64
Atoms (fractional coordinates):
Sr  0.067  0.067  0.199
Sr  0.933  0.933  0.801
Ir  0.326  0.326  0.001
Ir  0.674  0.674  0.999
Br  0.220  0.220  0.652
Br  0.780  0.780  0.348

---

Record 8
Compound: Sr8IrBr2
Source: Alexandria
Functional: PBE
Structure: relaxed

Formation energy from raw total energies: -0.5611 eV per atom
V: 507.7 Å³ per cell
Space-group type: No. 12
Mass density: 3.44 g/cm3

Unit cell a=8.756 b=8.756 c=6.933 alpha=90.98 beta=90.98 gamma=72.81
Atoms (fractional coordinates):
Sr  0.097  0.706  0.768
Sr  0.161  0.161  0.748
Sr  0.294  0.903  0.232
Sr  0.358  0.358  0.268
Sr  0.642  0.642  0.732
Sr  0.706  0.097  0.768
Sr  0.839  0.839  0.252
Sr  0.903  0.294  0.232
Ir  0.000  0.000  0.000
Br  0.415  0.415  0.738
Br  0.585  0.585  0.262

---

Record 9
Compound: SrIrBr
Source: Alexandria
Functional: PBE
Structure: relaxed

Formation energy from raw total energies: -1.0786 eV per atom
E above lowest polymorph: 0.007 eV/f.u.
V: 186.0 Å³ per cell
Space-group type: No. 1
Mass density: 6.42 g/cm3

Unit cell a=4.239 b=4.240 c=12.005 alpha=99.99 beta=90.59 gamma=118.29
Atoms (fractional coordinates):
Sr  0.000  0.000  0.000
Sr  0.134  0.258  0.397
Ir  0.391  0.806  0.198
Ir  0.741  0.456  0.198
Br  0.289  0.563  0.850
Br  0.524  0.016  0.547

---

Record 10
Compound: SrIrBr
Source: Alexandria
Functional: PBE
Structure: relaxed

Formation energy from raw total energies: -0.1958 eV per atom
E above lowest polymorph: 2.655 eV/f.u.
V: 144.5 Å³ per cell
Space-group type: No. 194
Mass density: 8.27 g/cm3

Unit cell a=4.431 b=4.431 c=8.502 alpha=90.00 beta=90.00 gamma=120.00
Atoms (fractional coordinates):
Sr  0.000  0.000  0.000
Sr  0.000  0.000  0.500
Ir  0.333  0.667  0.250
Ir  0.667  0.333  0.750
Br  0.333  0.667  0.750
Br  0.667  0.333  0.250

---

Record 11
Compound: SrIrBr
Source: Alexandria
Functional: PBE
Structure: relaxed

Formation energy from raw total energies: -0.7880 eV per atom
E above lowest polymorph: 0.879 eV/f.u.
V: 183.0 Å³ per cell
Space-group type: No. 1
Mass density: 6.53 g/cm3

Unit cell a=4.299 b=4.299 c=11.555 alpha=79.32 beta=79.47 gamma=61.32
Atoms (fractional coordinates):
Sr  0.000  0.000  0.000
Sr  0.141  0.135  0.581
Ir  0.267  0.264  0.171
Ir  0.622  0.620  0.169
Br  0.418  0.411  0.756
Br  0.847  0.843  0.447

---

Record 12
Compound: Sr2IrBr2
Source: Alexandria
Functional: PBE
Structure: relaxed

Formation energy from raw total energies: -0.7113 eV per atom
E above lowest polymorph: 0.000 eV/f.u.
V: 311.3 Å³ per cell
Space-group type: No. 127
Mass density: 5.62 g/cm3

Unit cell a=8.306 b=8.306 c=4.512 alpha=90.00 beta=90.00 gamma=90.00
Atoms (fractional coordinates):
Sr  0.180  0.320  0.000
Sr  0.320  0.820  0.000
Sr  0.680  0.180  0.000
Sr  0.820  0.680  0.000
Ir  0.000  0.000  0.000
Ir  0.500  0.500  0.000
Br  0.140  0.640  0.500
Br  0.360  0.140  0.500
Br  0.640  0.860  0.500
Br  0.860  0.360  0.500

---

Record 13
Compound: SrIr2Br
Source: Alexandria
Functional: PBE
Structure: relaxed

Formation energy from raw total energies: 0.8712 eV per atom
E above lowest polymorph: 4.519 eV/f.u.
V: 79.3 Å³ per cell
Space-group type: No. 166
Mass density: 11.55 g/cm3

Unit cell a=9.356 b=9.356 c=9.356 alpha=19.44 beta=19.44 gamma=19.44
Atoms (fractional coordinates):
Sr  0.000  0.000  0.000
Ir  0.242  0.242  0.242
Ir  0.758  0.758  0.758
Br  0.500  0.500  0.500

---

Record 14
Compound: SrIr2Br
Source: Alexandria
Functional: PBE
Structure: relaxed

Formation energy from raw total energies: 0.1107 eV per atom
E above lowest polymorph: 1.476 eV/f.u.
V: 99.9 Å³ per cell
Space-group type: No. 44
Mass density: 9.17 g/cm3

Unit cell a=5.723 b=5.723 c=5.723 alpha=140.16 beta=121.82 gamma=72.84
Atoms (fractional coordinates):
Sr  0.000  0.000  0.000
Ir  0.515  0.515  0.000
Ir  0.665  0.165  0.500
Br  0.309  0.809  0.500

---

Record 15
Compound: SrIrBr
Source: Alexandria
Functional: PBE
Structure: relaxed

Formation energy from raw total energies: 0.1790 eV per atom
E above lowest polymorph: 3.780 eV/f.u.
V: 78.0 Å³ per cell
Space-group type: No. 216
Mass density: 7.66 g/cm3

Unit cell a=4.796 b=4.796 c=4.796 alpha=60.00 beta=60.00 gamma=60.00
Atoms (fractional coordinates):
Sr  0.000  0.000  0.000
Ir  0.250  0.250  0.250
Br  0.500  0.500  0.500

---

Record 16
Compound: Sr8Ir2Br
Source: Alexandria
Functional: PBE
Structure: relaxed

Formation energy from raw total energies: -0.3681 eV per atom
V: 455.6 Å³ per cell
Space-group type: No. 2
Mass density: 4.25 g/cm3

Unit cell a=7.437 b=7.882 c=8.106 alpha=95.14 beta=100.90 gamma=100.13
Atoms (fractional coordinates):
Sr  0.213  0.037  0.400
Sr  0.235  0.745  0.791
Sr  0.259  0.282  0.859
Sr  0.281  0.553  0.331
Sr  0.719  0.447  0.669
Sr  0.741  0.718  0.141
Sr  0.765  0.255  0.209
Sr  0.787  0.963  0.600
Ir  0.035  0.344  0.533
Ir  0.965  0.656  0.467
Br  0.000  0.000  0.000

---

Record 17
Compound: SrIr2Br
Source: Alexandria
Functional: PBE
Structure: relaxed

Formation energy from raw total energies: -0.2584 eV per atom
E above lowest polymorph: 0.000 eV/f.u.
V: 119.2 Å³ per cell
Space-group type: No. 160
Mass density: 7.69 g/cm3

Unit cell a=8.268 b=8.268 c=8.268 alpha=29.22 beta=29.22 gamma=29.22
Atoms (fractional coordinates):
Sr  0.000  0.000  0.000
Ir  0.233  0.233  0.233
Ir  0.565  0.565  0.565
Br  0.743  0.743  0.743

---

Record 18
Compound: SrIrBr
Source: Alexandria
Functional: PBE
Structure: relaxed

Formation energy from raw total energies: -0.7908 eV per atom
E above lowest polymorph: 0.870 eV/f.u.
V: 182.2 Å³ per cell
Space-group type: No. 8
Mass density: 6.56 g/cm3

Unit cell a=4.304 b=4.304 c=11.214 alpha=90.05 beta=90.05 gamma=61.26
Atoms (fractional coordinates):
Sr  0.000  0.000  0.000
Sr  0.668  0.668  0.584
Ir  0.322  0.322  0.171
Ir  0.677  0.677  0.170
Br  0.005  0.005  0.449
Br  0.333  0.333  0.760

---

Record 19
Compound: SrIrBr
Source: Alexandria
Functional: PBE
Structure: relaxed

Formation energy from raw total energies: -0.2049 eV per atom
E above lowest polymorph: 2.628 eV/f.u.
V: 71.4 Å³ per cell
Space-group type: No. 187
Mass density: 8.37 g/cm3

Unit cell a=4.454 b=4.454 c=4.154 alpha=90.00 beta=90.00 gamma=120.00
Atoms (fractional coordinates):
Sr  0.000  0.000  0.000
Ir  0.333  0.667  0.500
Br  0.667  0.333  0.500

---

Record 20
Compound: SrIrBr2
Source: Alexandria
Functional: PBE
Structure: relaxed

Formation energy from raw total energies: -0.0118 eV per atom
E above lowest polymorph: 2.342 eV/f.u.
V: 118.9 Å³ per cell
Space-group type: No. 65
Mass density: 6.14 g/cm3

Unit cell a=4.408 b=4.408 c=7.205 alpha=90.00 beta=90.00 gamma=121.84
Atoms (fractional coordinates):
Sr  0.000  0.000  0.000
Ir  0.000  0.000  0.500
Br  0.500  0.500  0.284
Br  0.500  0.500  0.716

---

Record 21
Compound: SrY2IrBr
Source: Alexandria
Functional: PBE
Structure: relaxed

Formation energy from raw total energies: -0.1825 eV per atom
V: 195.8 Å³ per cell
Space-group type: No. 123
Mass density: 4.56 g/cm3

Unit cell a=5.197 b=5.197 c=7.248 alpha=90.00 beta=90.00 gamma=90.00
Atoms (fractional coordinates):
Sr  0.000  0.000  0.000
Y  0.000  0.500  0.500
Y  0.500  0.000  0.500
Ir  0.500  0.500  0.500
Br  0.500  0.500  0.000

---

Record 22
Compound: TaIr3Br
Source: Alexandria
Functional: PBE
Structure: relaxed

Formation energy from raw total energies: 1.7273 eV per atom
E above lowest polymorph: 0.000 eV/f.u.
V: 114.4 Å³ per cell
Space-group type: No. 221
Mass density: 12.15 g/cm3

Unit cell a=4.855 b=4.855 c=4.855 alpha=90.00 beta=90.00 gamma=90.00
Atoms (fractional coordinates):
Ta  0.000  0.000  0.000
Ir  0.000  0.000  0.500
Ir  0.000  0.500  0.000
Ir  0.500  0.000  0.000
Br  0.500  0.500  0.500

---

Record 23
Compound: TaIrBr4
Source: Alexandria
Functional: PBE
Structure: relaxed

Formation energy from raw total energies: 1.8187 eV per atom
V: 137.7 Å³ per cell
Space-group type: No. 216
Mass density: 8.36 g/cm3

Unit cell a=5.796 b=5.796 c=5.796 alpha=60.00 beta=60.00 gamma=60.00
Atoms (fractional coordinates):
Ta  0.000  0.000  0.000
Ir  0.250  0.250  0.250
Br  0.126  0.625  0.625
Br  0.625  0.126  0.625
Br  0.625  0.625  0.126
Br  0.625  0.625  0.625

---

Record 24
Compound: TaIr3Br
Source: Alexandria
Functional: PBE
Structure: relaxed

Formation energy from raw total energies: 1.8438 eV per atom
E above lowest polymorph: 0.583 eV/f.u.
V: 95.7 Å³ per cell
Space-group type: No. 221
Mass density: 14.53 g/cm3

Unit cell a=4.574 b=4.574 c=4.574 alpha=90.00 beta=90.00 gamma=90.00
Atoms (fractional coordinates):
Ta  0.000  0.000  0.000
Ir  0.000  0.500  0.500
Ir  0.500  0.000  0.500
Ir  0.500  0.500  0.000
Br  0.500  0.500  0.500

---

Record 25
Compound: Ta4IrBr
Source: Alexandria
Functional: PBE
Structure: relaxed

Formation energy from raw total energies: 0.7874 eV per atom
V: 114.1 Å³ per cell
Space-group type: No. 216
Mass density: 14.49 g/cm3

Unit cell a=5.445 b=5.445 c=5.445 alpha=60.00 beta=60.00 gamma=60.00
Atoms (fractional coordinates):
Ta  0.125  0.125  0.125
Ta  0.125  0.125  0.624
Ta  0.125  0.624  0.125
Ta  0.624  0.125  0.125
Ir  0.500  0.500  0.500
Br  0.750  0.750  0.750

---

Record 26
Compound: Ta2Ir2Br
Source: Alexandria
Functional: PBE
Structure: relaxed

Formation energy from raw total energies: 0.1337 eV per atom
V: 102.7 Å³ per cell
Space-group type: No. 139
Mass density: 13.36 g/cm3

Unit cell a=7.372 b=7.372 c=7.372 alpha=149.54 beta=149.54 gamma=43.62
Atoms (fractional coordinates):
Ta  0.126  0.126  0.000
Ta  0.874  0.874  0.000
Ir  0.250  0.750  0.500
Ir  0.750  0.250  0.500
Br  0.500  0.500  0.000

---

Record 27
Compound: TaTeIr2Br
Source: Alexandria
Functional: PBE
Structure: relaxed

Formation energy from raw total energies: 1.7743 eV per atom
V: 123.8 Å³ per cell
Space-group type: No. 123
Mass density: 10.37 g/cm3

Unit cell a=4.868 b=4.868 c=5.225 alpha=90.00 beta=90.00 gamma=90.00
Atoms (fractional coordinates):
Ta  0.000  0.000  0.000
Te  0.000  0.000  0.500
Ir  0.000  0.500  0.500
Ir  0.500  0.000  0.500
Br  0.500  0.500  0.000

---

Record 28
Compound: Ta2TlIrBr
Source: Alexandria
Functional: PBE
Structure: relaxed

Formation energy from raw total energies: 1.4346 eV per atom
V: 105.9 Å³ per cell
Space-group type: No. 123
Mass density: 13.15 g/cm3

Unit cell a=4.764 b=4.764 c=4.665 alpha=90.00 beta=90.00 gamma=90.00
Atoms (fractional coordinates):
Ta  0.000  0.500  0.000
Ta  0.500  0.000  0.000
Tl  0.000  0.000  0.500
Ir  0.500  0.500  0.500
Br  0.500  0.500  0.000